1.
AcGdSnSb (PBE, optimized geometry); density of states at the Fermi level = 1.14 states/eV/atom; total magnetization = 7.3 μB per formula unit; uncorrected formation energy = -0.69 eV/atom
1.0
7.9433 0.0000 0.0000
0.0000 7.9433 0.0000
0.0000 0.0000 7.9433
Ac Gd Sn Sb
4 4 4 4
Cartesian
0.0000 0.0000 0.0000 Ac
0.0000 3.9716 3.9716 Ac
3.9716 0.0000 3.9716 Ac
3.9716 3.9716 0.0000 Ac
0.0000 0.0000 3.9716 Gd
0.0000 3.9716 0.0000 Gd
3.9716 0.0000 0.0000 Gd
3.9716 3.9716 3.9716 Gd
1.9858 1.9858 1.9858 Sn
1.9858 5.9575 5.9575 Sn
5.9575 1.9858 5.9575 Sn
5.9575 5.9575 1.9858 Sn
1.9858 1.9858 5.9575 Sb
1.9858 5.9575 1.9858 Sb
5.9575 1.9858 1.9858 Sb
5.9575 5.9575 5.9575 Sb

=====

2.
AcGdTlSb (PBE, optimized geometry); density of states at the Fermi level = 1.44 states/eV/atom; total magnetization = 7.4 μB per formula unit; uncorrected formation energy = -0.54 eV/atom
1.0
7.9555 0.0000 0.0000
0.0000 7.9555 0.0000
0.0000 0.0000 7.9555
Ac Gd Tl Sb
4 4 4 4
Cartesian
0.0000 0.0000 0.0000 Ac
0.0000 3.9777 3.9777 Ac
3.9777 0.0000 3.9777 Ac
3.9777 3.9777 0.0000 Ac
0.0000 0.0000 3.9777 Gd
0.0000 3.9777 0.0000 Gd
3.9777 0.0000 0.0000 Gd
3.9777 3.9777 3.9777 Gd
1.9889 1.9889 5.9666 Tl
1.9889 5.9666 1.9889 Tl
5.9666 1.9889 1.9889 Tl
5.9666 5.9666 5.9666 Tl
1.9889 1.9889 1.9889 Sb
1.9889 5.9666 5.9666 Sb
5.9666 1.9889 5.9666 Sb
5.9666 5.9666 1.9889 Sb

=====

3.
AcGdZnSb (PBE, optimized geometry); density of states at the Fermi level = 1.13 states/eV/atom; total magnetization = 7.5 μB per formula unit; uncorrected formation energy = -0.53 eV/atom
1.0
7.7458 0.0000 0.0000
0.0000 7.7458 0.0000
0.0000 0.0000 7.7458
Ac Gd Zn Sb
4 4 4 4
Cartesian
0.0000 0.0000 0.0000 Ac
0.0000 3.8729 3.8729 Ac
3.8729 0.0000 3.8729 Ac
3.8729 3.8729 0.0000 Ac
0.0000 0.0000 3.8729 Gd
0.0000 3.8729 0.0000 Gd
3.8729 0.0000 0.0000 Gd
3.8729 3.8729 3.8729 Gd
1.9364 1.9364 5.8093 Zn
1.9364 5.8093 1.9364 Zn
5.8093 1.9364 1.9364 Zn
5.8093 5.8093 5.8093 Zn
1.9364 1.9364 1.9364 Sb
1.9364 5.8093 5.8093 Sb
5.8093 1.9364 5.8093 Sb
5.8093 5.8093 1.9364 Sb

=====

4.
Ac2GdSc (PBE, optimized geometry); density of states at the Fermi level = 1.23 states/eV/atom; total magnetization = 7.3 μB per formula unit; formation energy from the elements = 69 meV/atom; energy above the most stable polymorph in this dataset = 0 meV per atom
1.0
3.8615 0.0000 0.0000
0.0000 3.8615 0.0000
0.0000 0.0000 9.6546
Ac Gd Sc
2 1 1
Cartesian
0.0000 0.0000 2.2646 Ac
0.0000 0.0000 7.3900 Ac
1.9308 1.9308 4.8273 Gd
1.9308 1.9308 0.0000 Sc

=====

5.
Ac2GdSc (PBE, optimized geometry); density of states at the Fermi level = 1.37 states/eV/atom; total magnetization = 7.3 μB per formula unit; formation energy from the elements = 87 meV/atom; energy above the most stable polymorph in this dataset = 18 meV per atom
1.0
5.4158 0.0000 0.0000
0.0000 5.4158 0.0000
0.0000 0.0000 4.9066
Ac Gd Sc
2 1 1
Cartesian
0.0000 2.7079 0.0000 Ac
2.7079 0.0000 0.0000 Ac
0.0000 0.0000 2.4533 Gd
2.7079 2.7079 2.4533 Sc

=====

6.
Ac2GdSc (PBE, optimized geometry); density of states at the Fermi level = 1.82 states/eV/atom; total magnetization = 7.6 μB per formula unit; formation energy from the elements = 108 meV/atom; energy above the most stable polymorph in this dataset = 39 meV per atom
1.0
8.3206 0.0000 0.0000
0.0000 8.3206 0.0000
0.0000 0.0000 8.3206
Ac Gd Sc
8 4 4
Cartesian
2.0801 2.0801 2.0801 Ac
2.0801 2.0801 6.2404 Ac
2.0801 6.2404 2.0801 Ac
2.0801 6.2404 6.2404 Ac
6.2404 2.0801 2.0801 Ac
6.2404 2.0801 6.2404 Ac
6.2404 6.2404 2.0801 Ac
6.2404 6.2404 6.2404 Ac
0.0000 0.0000 0.0000 Gd
0.0000 4.1603 4.1603 Gd
4.1603 0.0000 4.1603 Gd
4.1603 4.1603 0.0000 Gd
0.0000 0.0000 4.1603 Sc
0.0000 4.1603 0.0000 Sc
4.1603 0.0000 0.0000 Sc
4.1603 4.1603 4.1603 Sc

=====

7.
Ac2GdSc (PBE, optimized geometry); density of states at the Fermi level = 2.04 states/eV/atom; total magnetization = 8.1 μB per formula unit; formation energy from the elements = 280 meV/atom; energy above the most stable polymorph in this dataset = 211 meV per atom
1.0
3.6828 0.0000 0.0000
-1.8414 3.1894 0.0000
0.0000 0.0000 38.1758
Ac Gd Sc
6 3 3
Cartesian
0.0000 0.0000 3.5079 Ac
0.0000 0.0000 34.6679 Ac
0.0000 2.1263 21.9427 Ac
0.0000 2.1263 28.9584 Ac
1.8414 1.0631 9.2174 Ac
1.8414 1.0631 16.2331 Ac
0.0000 0.0000 0.0000 Gd
0.0000 2.1263 25.4505 Gd
1.8414 1.0631 12.7253 Gd
0.0000 0.0000 19.0879 Sc
0.0000 2.1263 6.3626 Sc
1.8414 1.0631 31.8132 Sc

=====

8.
AcGdSc (PBE, optimized geometry); density of states at the Fermi level = 1.69 states/eV/atom; total magnetization = 7.6 μB per formula unit; formation energy from the elements = 99 meV/atom; energy above the most stable polymorph in this dataset = 0 meV per atom
1.0
3.7826 0.0000 0.0000
0.0000 3.7826 0.0000
0.0000 0.0000 14.0982
Ac Gd Sc
2 2 2
Cartesian
0.0000 0.0000 0.0000 Ac
1.8913 1.8913 7.0491 Ac
0.0000 0.0000 9.7035 Gd
1.8913 1.8913 2.6543 Gd
0.0000 0.0000 4.7158 Sc
1.8913 1.8913 11.7649 Sc

=====

9.
AcGdSc2 (PBE, optimized geometry); density of states at the Fermi level = 1.46 states/eV/atom; total magnetization = 7.4 μB per formula unit; formation energy from the elements = 97 meV/atom; energy above the most stable polymorph in this dataset = 14 meV per atom
1.0
7.9104 0.0000 0.0000
0.0000 7.9104 0.0000
0.0000 0.0000 7.9104
Ac Gd Sc
4 4 8
Cartesian
0.0000 0.0000 0.0000 Ac
0.0000 3.9552 3.9552 Ac
3.9552 0.0000 3.9552 Ac
3.9552 3.9552 0.0000 Ac
0.0000 0.0000 3.9552 Gd
0.0000 3.9552 0.0000 Gd
3.9552 0.0000 0.0000 Gd
3.9552 3.9552 3.9552 Gd
1.9776 1.9776 1.9776 Sc
1.9776 1.9776 5.9328 Sc
1.9776 5.9328 1.9776 Sc
1.9776 5.9328 5.9328 Sc
5.9328 1.9776 1.9776 Sc
5.9328 1.9776 5.9328 Sc
5.9328 5.9328 1.9776 Sc
5.9328 5.9328 5.9328 Sc

=====

10.
AcGdSc (PBE, optimized geometry); density of states at the Fermi level = 1.59 states/eV/atom; total magnetization = 7.9 μB per formula unit; formation energy from the elements = 109 meV/atom; energy above the most stable polymorph in this dataset = 9 meV per atom
1.0
5.6837 0.0000 0.0000
-2.8418 4.9222 0.0000
0.0000 0.0000 3.5786
Ac Gd Sc
1 1 1
Cartesian
0.0000 0.0000 0.0000 Ac
0.0000 3.2815 1.7929 Gd
2.8418 1.6407 1.7857 Sc

=====

11.
AcGdSc2 (PBE, optimized geometry); density of states at the Fermi level = 1.42 states/eV/atom; total magnetization = 7.4 μB per formula unit; formation energy from the elements = 83 meV/atom; energy above the most stable polymorph in this dataset = 0 meV per atom
1.0
3.9885 0.0000 0.0000
0.0000 3.9885 0.0000
0.0000 0.0000 7.7753
Ac Gd Sc
1 1 2
Cartesian
0.0000 0.0000 0.0000 Ac
0.0000 0.0000 3.8876 Gd
1.9942 1.9942 2.1073 Sc
1.9942 1.9942 5.6680 Sc

=====

12.
AcGdSc2 (PBE, optimized geometry); density of states at the Fermi level = 1.35 states/eV/atom; total magnetization = 7.2 μB per formula unit; formation energy from the elements = 139 meV/atom; energy above the most stable polymorph in this dataset = 56 meV per atom
1.0
3.5814 0.0000 0.0000
-1.7907 3.1016 0.0000
0.0000 0.0000 33.2108
Ac Gd Sc
3 3 6
Cartesian
0.0000 0.0000 0.0000 Ac
0.0000 2.0677 22.1405 Ac
1.7907 1.0339 11.0702 Ac
0.0000 0.0000 16.6054 Gd
0.0000 2.0677 5.5351 Gd
1.7907 1.0339 27.6756 Gd
0.0000 0.0000 8.2235 Sc
0.0000 0.0000 24.9872 Sc
0.0000 2.0677 13.9170 Sc
0.0000 2.0677 30.3641 Sc
1.7907 1.0339 2.8467 Sc
1.7907 1.0339 19.2938 Sc

=====

13.
AcGdSc2 (PBE, optimized geometry); density of states at the Fermi level = 1.29 states/eV/atom; total magnetization = 7.3 μB per formula unit; formation energy from the elements = 95 meV/atom; energy above the most stable polymorph in this dataset = 12 meV per atom
1.0
5.2713 0.0000 0.0000
0.0000 5.2713 0.0000
0.0000 0.0000 4.4142
Ac Gd Sc
1 1 2
Cartesian
0.0000 0.0000 0.0000 Ac
2.6356 2.6356 0.0000 Gd
0.0000 2.6356 2.2071 Sc
2.6356 0.0000 2.2071 Sc

=====

14.
AcSmGdSc (PBE, optimized geometry); density of states at the Fermi level = 2.08 states/eV/atom; total magnetization = 9.1 μB per formula unit; formation energy from the elements = 180 meV/atom
1.0
8.1477 0.0000 0.0000
0.0000 8.1477 0.0000
0.0000 0.0000 8.1477
Ac Sm Gd Sc
4 4 4 4
Cartesian
0.0000 0.0000 0.0000 Ac
0.0000 4.0738 4.0738 Ac
4.0738 0.0000 4.0738 Ac
4.0738 4.0738 0.0000 Ac
2.0369 2.0369 2.0369 Sm
2.0369 6.1108 6.1108 Sm
6.1108 2.0369 6.1108 Sm
6.1108 6.1108 2.0369 Sm
2.0369 2.0369 6.1108 Gd
2.0369 6.1108 2.0369 Gd
6.1108 2.0369 2.0369 Gd
6.1108 6.1108 6.1108 Gd
0.0000 0.0000 4.0738 Sc
0.0000 4.0738 0.0000 Sc
4.0738 0.0000 0.0000 Sc
4.0738 4.0738 4.0738 Sc

=====

15.
AcGdScSn (PBE, optimized geometry); density of states at the Fermi level = 1.28 states/eV/atom; total magnetization = 8.3 μB per formula unit; formation energy from the elements = -164 meV/atom
1.0
7.7283 0.0000 0.0000
0.0000 7.7283 0.0000
0.0000 0.0000 7.7283
Ac Gd Sc Sn
4 4 4 4
Cartesian
0.0000 0.0000 0.0000 Ac
0.0000 3.8642 3.8642 Ac
3.8642 0.0000 3.8642 Ac
3.8642 3.8642 0.0000 Ac
1.9321 1.9321 1.9321 Gd
1.9321 5.7962 5.7962 Gd
5.7962 1.9321 5.7962 Gd
5.7962 5.7962 1.9321 Gd
1.9321 1.9321 5.7962 Sc
1.9321 5.7962 1.9321 Sc
5.7962 1.9321 1.9321 Sc
5.7962 5.7962 5.7962 Sc
0.0000 0.0000 3.8642 Sn
0.0000 3.8642 0.0000 Sn
3.8642 0.0000 0.0000 Sn
3.8642 3.8642 3.8642 Sn

=====

16.
AcGdThSc (PBE, optimized geometry); density of states at the Fermi level = 1.66 states/eV/atom; total magnetization = 7.1 μB per formula unit; formation energy from the elements = 140 meV/atom
1.0
8.0635 0.0000 0.0000
0.0000 8.0635 0.0000
0.0000 0.0000 8.0635
Ac Gd Th Sc
4 4 4 4
Cartesian
0.0000 0.0000 0.0000 Ac
0.0000 4.0318 4.0318 Ac
4.0318 0.0000 4.0318 Ac
4.0318 4.0318 0.0000 Ac
2.0159 2.0159 6.0476 Gd
2.0159 6.0476 2.0159 Gd
6.0476 2.0159 2.0159 Gd
6.0476 6.0476 6.0476 Gd
0.0000 0.0000 4.0318 Th
0.0000 4.0318 0.0000 Th
4.0318 0.0000 0.0000 Th
4.0318 4.0318 4.0318 Th
2.0159 2.0159 2.0159 Sc
2.0159 6.0476 6.0476 Sc
6.0476 2.0159 6.0476 Sc
6.0476 6.0476 2.0159 Sc

=====

17.
AcGdTmSc (PBE, optimized geometry); density of states at the Fermi level = 1.47 states/eV/atom; total magnetization = 7.5 μB per formula unit; formation energy from the elements = 104 meV/atom
1.0
8.0549 0.0000 0.0000
0.0000 8.0549 0.0000
0.0000 0.0000 8.0549
Ac Gd Tm Sc
4 4 4 4
Cartesian
0.0000 0.0000 0.0000 Ac
0.0000 4.0275 4.0275 Ac
4.0275 0.0000 4.0275 Ac
4.0275 4.0275 0.0000 Ac
0.0000 0.0000 4.0275 Gd
0.0000 4.0275 0.0000 Gd
4.0275 0.0000 0.0000 Gd
4.0275 4.0275 4.0275 Gd
2.0137 2.0137 6.0412 Tm
2.0137 6.0412 2.0137 Tm
6.0412 2.0137 2.0137 Tm
6.0412 6.0412 6.0412 Tm
2.0137 2.0137 2.0137 Sc
2.0137 6.0412 6.0412 Sc
6.0412 2.0137 6.0412 Sc
6.0412 6.0412 2.0137 Sc

=====

18.
AcGd2Se (PBE, optimized geometry); density of states at the Fermi level = 1.55 states/eV/atom; total magnetization = 14.8 μB per formula unit; uncorrected formation energy = -0.66 eV/atom
1.0
3.8483 0.0000 0.0000
-1.9242 3.3328 0.0000
0.0000 0.0000 32.3775
Ac Gd Se
3 6 3
Cartesian
0.0000 0.0000 0.0000 Ac
0.0000 2.2218 21.5850 Ac
1.9242 1.1109 10.7925 Ac
0.0000 0.0000 3.6272 Gd
0.0000 0.0000 28.7503 Gd
0.0000 2.2218 17.9578 Gd
0.0000 2.2218 25.2123 Gd
1.9242 1.1109 7.1653 Gd
1.9242 1.1109 14.4198 Gd
0.0000 0.0000 16.1888 Se
0.0000 2.2218 5.3963 Se
1.9242 1.1109 26.9813 Se

=====

19.
AcGdSe2 (PBE, optimized geometry); density of states at the Fermi level = 0.72 states/eV/atom; total magnetization = 6.8 μB per formula unit; energy above the most stable polymorph in this dataset = 0 meV per atom; uncorrected formation energy = -1.85 eV/atom
1.0
4.2654 0.0000 0.0000
-2.1327 3.6939 0.0000
0.0000 0.0000 21.4027
Ac Gd Se
3 3 6
Cartesian
0.0000 0.0000 0.0000 Ac
0.0000 2.4626 14.2684 Ac
2.1327 1.2313 7.1342 Ac
0.0000 0.0000 10.7013 Gd
0.0000 2.4626 3.5671 Gd
2.1327 1.2313 17.8355 Gd
0.0000 0.0000 5.1718 Se
0.0000 0.0000 16.2309 Se
0.0000 2.4626 9.0967 Se
0.0000 2.4626 19.4402 Se
2.1327 1.2313 1.9624 Se
2.1327 1.2313 12.3060 Se

=====

20.
AcGdSe2 (PBE, optimized geometry); density of states at the Fermi level = 1.42 states/eV/atom; total magnetization = 8.1 μB per formula unit; energy above the most stable polymorph in this dataset = 266 meV per atom; uncorrected formation energy = -1.59 eV/atom
1.0
7.4689 0.0000 0.0000
0.0000 7.4689 0.0000
0.0000 0.0000 7.4689
Ac Gd Se
4 4 8
Cartesian
0.0000 0.0000 0.0000 Ac
0.0000 3.7344 3.7344 Ac
3.7344 0.0000 3.7344 Ac
3.7344 3.7344 0.0000 Ac
0.0000 0.0000 3.7344 Gd
0.0000 3.7344 0.0000 Gd
3.7344 0.0000 0.0000 Gd
3.7344 3.7344 3.7344 Gd
1.8672 1.8672 1.8672 Se
1.8672 1.8672 5.6016 Se
1.8672 5.6016 1.8672 Se
1.8672 5.6016 5.6016 Se
5.6016 1.8672 1.8672 Se
5.6016 1.8672 5.6016 Se
5.6016 5.6016 1.8672 Se
5.6016 5.6016 5.6016 Se